w | # Sm3Cd2

An optimized crystal structure of Sm3Cd2 (PBE, Alexandria via LeMat-Bulk).

Fermi-level density of states: 13.42 states/eV/cell

a = 9.1548 Å, b = 5.2619 Å, c = 6.4847 Å
α = 90.00°, β = 90.32°, γ = 90.00°
Space group C2/m (No. 12)
One atom of each set of equivalent atoms:
Sm (0.0000, 0.0000, 0.0000) (multiplicity 2)
Sm (0.1666, 0.5000, 0.3519) (multiplicity 4)
Cd (0.1671, 0.5000, 0.8494) (multiplicity 4)

x | # Sm3Cd2

An optimized crystal structure of Sm3Cd2 (PBE, Alexandria via LeMat-Bulk).

Fermi-level density of states: 14.10 states/eV/cell

a = 3.7571 Å, b = 3.7571 Å, c = 20.5670 Å
α = 90.00°, β = 90.00°, γ = 90.00°
Space group P4/mmm (No. 123)
One atom of each set of equivalent atoms:
Sm (0.0000, 0.0000, 0.0000) (multiplicity 1)
Sm (0.0000, 0.0000, 0.1888) (multiplicity 2)
Sm (0.0000, 0.0000, 0.3794) (multiplicity 2)
Sm (0.5000, 0.5000, 0.5000) (multiplicity 1)
Cd (0.5000, 0.5000, 0.0950) (multiplicity 2)
Cd (0.5000, 0.5000, 0.2850) (multiplicity 2)

Quick one: least stable of them? w

w | # Sm2CdSn4

An optimized crystal structure of Sm2CdSn4 (PBE, Alexandria via LeMat-Bulk).

Fermi-level density of states: 4.41 states/eV/cell

a = 4.5140 Å, b = 4.5140 Å, c = 9.6371 Å
α = 90.00°, β = 90.00°, γ = 90.00°
Space group P-4m2 (No. 115)
One atom of each set of equivalent atoms:
Sm (0.0000, 0.5000, 0.2395) (multiplicity 2)
Cd (0.5000, 0.5000, 0.0000) (multiplicity 1)
Sn (0.0000, 0.0000, 0.5000) (multiplicity 1)
Sn (0.0000, 0.5000, 0.8068) (multiplicity 2)
Sn (0.5000, 0.5000, 0.5000) (multiplicity 1)

x | # Sm2CdSn4

An optimized crystal structure of Sm2CdSn4 (PBE, Alexandria via LeMat-Bulk).

Fermi-level density of states: 9.27 states/eV/cell

a = 9.2229 Å, b = 9.2393 Å, c = 6.5245 Å
α = 90.00°, β = 134.75°, γ = 90.00°
Space group C2/m (No. 12)
One atom of each set of equivalent atoms:
Sm (0.2500, 0.2500, 0.0000) (multiplicity 4)
Cd (0.0000, 0.0000, 0.0000) (multiplicity 2)
Sn (0.0000, 0.0000, 0.5000) (multiplicity 2)
Sn (0.0000, 0.5000, 0.5000) (multiplicity 2)
Sn (0.2500, 0.2500, 0.5000) (multiplicity 4)

Quick one: least stable of them? w

w | # SmCd2Sn

An optimized crystal structure of SmCd2Sn (PBE, Alexandria via LeMat-Bulk).

Fermi-level density of states: 12.85 states/eV/cell

a = 7.4429 Å, b = 7.4429 Å, c = 7.4429 Å
α = 90.00°, β = 90.00°, γ = 90.00°
Space group Fm-3m (No. 225)
One atom of each set of equivalent atoms:
Sm (0.0000, 0.0000, 0.0000) (multiplicity 4)
Cd (0.2500, 0.2500, 0.2500) (multiplicity 8)
Sn (0.0000, 0.0000, 0.5000) (multiplicity 4)

x | # SmCd2Sn

An optimized crystal structure of SmCd2Sn (PBE, Alexandria via LeMat-Bulk).

Fermi-level density of states: 0.62 states/eV/cell

a = 4.5277 Å, b = 4.5277 Å, c = 4.8645 Å
α = 90.00°, β = 90.00°, γ = 90.00°
Space group P4/mmm (No. 123)
One atom of each set of equivalent atoms:
Sm (0.0000, 0.0000, 0.0000) (multiplicity 1)
Cd (0.0000, 0.5000, 0.5000) (multiplicity 2)
Sn (0.5000, 0.5000, 0.0000) (multiplicity 1)

y | # SmCd2Sn

An optimized crystal structure of SmCd2Sn (PBE, Alexandria via LeMat-Bulk).

Fermi-level density of states: 3.28 states/eV/cell

a = 5.1618 Å, b = 5.1618 Å, c = 5.8355 Å
α = 90.00°, β = 90.00°, γ = 120.00°
Space group P-6m2 (No. 187)
One atom of each set of equivalent atoms:
Sm (0.0000, 0.0000, 0.0000) (multiplicity 1)
Cd (0.0000, 0.0000, 0.5000) (multiplicity 1)
Cd (0.3333, 0.6667, 0.5000) (multiplicity 1)
Sn (0.6667, 0.3333, 0.5000) (multiplicity 1)

Quick one: least stable of them? y

w | # SrSmCd4

An optimized crystal structure of SrSmCd4 (PBE, Alexandria via LeMat-Bulk).

Fermi-level density of states: 4.35 states/eV/cell

a = 3.6037 Å, b = 5.1006 Å, c = 8.8499 Å
α = 90.00°, β = 90.00°, γ = 90.00°
Space group Pmmm (No. 47)
One atom of each set of equivalent atoms:
Sr (0.0000, 0.0000, 0.0000) (multiplicity 1)
Sm (0.0000, 0.5000, 0.5000) (multiplicity 1)
Cd (0.5000, 0.0000, 0.3379) (multiplicity 2)
Cd (0.5000, 0.5000, 0.1720) (multiplicity 2)

x | # SrSmCd4

An optimized crystal structure of SrSmCd4 (PBE, Alexandria via LeMat-Bulk).

Fermi-level density of states: 15.57 states/eV/cell

a = 8.5922 Å, b = 8.5922 Å, c = 8.5922 Å
α = 90.00°, β = 90.00°, γ = 90.00°
Space group F-43m (No. 216)
One atom of each set of equivalent atoms:
Sr (0.0000, 0.0000, 0.0000) (multiplicity 4)
Sm (0.2500, 0.2500, 0.7500) (multiplicity 4)
Cd (0.1242, 0.1242, 0.3758) (multiplicity 16)

Quick one: least stable of them? x

w | # SrSm2Cd

An optimized crystal structure of SrSm2Cd (PBE, Alexandria via LeMat-Bulk).

Fermi-level density of states: 6.09 states/eV/cell

a = 3.8652 Å, b = 3.8652 Å, c = 9.4791 Å
α = 90.00°, β = 90.00°, γ = 90.00°
Space group P4/mmm (No. 123)
One atom of each set of equivalent atoms:
Sr (0.0000, 0.0000, 0.0000) (multiplicity 1)
Sm (0.5000, 0.5000, 0.3101) (multiplicity 2)
Cd (0.0000, 0.0000, 0.5000) (multiplicity 1)

x | # SrSm2Cd

An optimized crystal structure of SrSm2Cd (PBE, Alexandria via LeMat-Bulk).

Fermi-level density of states: 20.83 states/eV/cell

a = 3.6898 Å, b = 3.6898 Å, c = 36.7233 Å
α = 90.00°, β = 90.00°, γ = 120.00°
Space group R-3m (No. 166, hexagonal axes)
One atom of each set of equivalent atoms:
Sr (0.0000, 0.0000, 0.0000) (multiplicity 3)
Sm (0.0000, 0.0000, 0.0993) (multiplicity 6)
Cd (0.0000, 0.0000, 0.5000) (multiplicity 3)

Quick one: least stable of them? x

w | # Tb6SmCd2

An optimized crystal structure of Tb6SmCd2 (PBE, Alexandria via LeMat-Bulk).

Fermi-level density of states: 18.38 states/eV/cell

a = 12.6648 Å, b = 3.7603 Å, c = 11.9351 Å
α = 90.00°, β = 108.40°, γ = 90.00°
Space group C2/m (No. 12)
One atom of each set of equivalent atoms:
Tb (0.0155, 0.0000, 0.3408) (multiplicity 4)
Tb (0.1850, 0.5000, 0.8762) (multiplicity 4)
Tb (0.1879, 0.5000, 0.5839) (multiplicity 4)
Sm (0.0000, 0.0000, 0.0000) (multiplicity 2)
Cd (0.1476, 0.5000, 0.2117) (multiplicity 4)

x | # Tb6SmCd2

An optimized crystal structure of Tb6SmCd2 (PBE, Alexandria via LeMat-Bulk).

Fermi-level density of states: 44.98 states/eV/cell

a = 15.4700 Å, b = 11.4179 Å, c = 6.1018 Å
α = 90.00°, β = 95.73°, γ = 90.00°
Space group C2/c (No. 15)
One atom of each set of equivalent atoms:
Tb (0.0561, 0.1235, 0.0087) (multiplicity 8)
Tb (0.1198, 0.3499, 0.3111) (multiplicity 8)
Tb (0.2264, 0.3733, 0.8370) (multiplicity 8)
Sm (0.0000, 0.3979, 0.7500) (multiplicity 4)
Cd (0.1639, 0.1248, 0.5937) (multiplicity 8)

Quick one: least stable of them? x